First-principles (PBE with a Hubbard U) data for a relaxed ScUMnO6 crystal, as listed in Alexandria.

The space group is P-31c (No. 163) and the conventional cell measures 5.4760, 5.4760 and 8.8404 Å, with angles of 90.00, 90.00 and 120.00 degrees. Symmetry generates all atoms from Sc at (0.3333, 0.6667, 0.2500), U at (0.3333, 0.6667, 0.7500), Mn at (0.0000, 0.0000, 0.0000) and O at (0.0060, 0.3391, 0.6301).

The total energy comes out at -157.07 eV/cell. For the total moment, the calculation gives 0.44 μB per atom.